# PBE Zr6MnPd12, relaxed
# spin magnetization = 3.34 μB per formula unit
# energy of formation from the pure elements = -0.5364 eV/atom
# uncorrected energy = -6.998 eV per atom
# SG = R-3
# DOS at the Fermi energy = 10.5 states/eV/cell
# calculated volume = 338.79 Å³ per cell
data_Zr6MnPd12
_cell_length_a 6.9962
_cell_length_b 6.9962
_cell_length_c 6.9962
_cell_angle_alpha 94.70
_cell_angle_beta 94.70
_cell_angle_gamma 94.70
_space_group_name_H-M_alt 'P 1'
_space_group_IT_number 1
loop_
_space_group_symop_operation_xyz
'x,y,z'
loop_
_atom_site_label
_atom_site_fract_x
_atom_site_fract_y
_atom_site_fract_z
Mn1 0.0000 0.0000 0.0000
Pd1 0.1202 0.3581 0.0382
Pd2 0.9618 0.8798 0.6419
Pd3 0.5480 0.4769 0.7893
Pd4 0.7893 0.5480 0.4769
Pd5 0.8798 0.6419 0.9618
Pd6 0.5231 0.2107 0.4520
Pd7 0.6419 0.9618 0.8798
Pd8 0.2107 0.4520 0.5231
Pd9 0.0382 0.1202 0.3581
Pd10 0.4769 0.7893 0.5480
Pd11 0.3581 0.0382 0.1202
Pd12 0.4520 0.5231 0.2107
Zr1 0.6879 0.8580 0.2491
Zr2 0.8580 0.2491 0.6879
Zr3 0.3121 0.1420 0.7509
Zr4 0.1420 0.7509 0.3121
Zr5 0.7509 0.3121 0.1420
Zr6 0.2491 0.6879 0.8580

=====

# PBE KAlFe4, relaxed
# spin magnetization = 9.97 μB per formula unit
# energy of formation from the pure elements = 0.6301 eV/atom
# uncorrected energy = -5.818 eV per atom
# SG = F-43m
# DOS at the Fermi energy = 8.2 states/eV/cell
# calculated volume = 93.87 Å³ per cell
data_KAlFe4
_cell_length_a 5.1013
_cell_length_b 5.1013
_cell_length_c 5.1013
_cell_angle_alpha 60.00
_cell_angle_beta 60.00
_cell_angle_gamma 60.00
_space_group_name_H-M_alt 'P 1'
_space_group_IT_number 1
loop_
_space_group_symop_operation_xyz
'x,y,z'
loop_
_atom_site_label
_atom_site_fract_x
_atom_site_fract_y
_atom_site_fract_z
Fe1 0.3731 0.3731 0.8806
Fe2 0.3731 0.8806 0.3731
Fe3 0.8806 0.3731 0.3731
Fe4 0.3731 0.3731 0.3731
Al1 0.0000 0.0000 0.0000
K1 0.7500 0.7500 0.7500

=====

# PBE V5W7, relaxed
# spin magnetization = 0.00 μB per formula unit
# energy of formation from the pure elements = -0.0851 eV/atom
# uncorrected energy = -11.440 eV per atom
# SG = C2/m
# DOS at the Fermi energy = 7.1 states/eV/cell
# relative energy among the computed polymorphs = 0 kJ/mol of formula units
# calculated volume = 179.95 Å³ per cell
data_V5W7
_cell_length_a 3.1154
_cell_length_b 6.7426
_cell_length_c 15.7724
_cell_angle_alpha 143.83
_cell_angle_beta 90.00
_cell_angle_gamma 103.36
_space_group_name_H-M_alt 'P 1'
_space_group_IT_number 1
loop_
_space_group_symop_operation_xyz
'x,y,z'
loop_
_atom_site_label
_atom_site_fract_x
_atom_site_fract_y
_atom_site_fract_z
W1 0.5000 0.0000 0.5000
W2 0.9150 0.8300 0.7464
W3 0.2488 0.4976 0.7506
W4 0.0850 0.1700 0.2536
W5 0.6669 0.3339 0.0014
W6 0.7512 0.5024 0.2494
W7 0.3331 0.6661 0.9986
V1 0.5803 0.1605 0.7470
V2 0.4197 0.8395 0.2530
V3 0.0000 0.0000 0.0000
V4 0.8327 0.6654 0.5013
V5 0.1673 0.3346 0.4987